Entry 1:
Computed, not measured: a geometry-optimized PmFeW structure at the PBE-GGA level of DFT.

a = 4.4124 Å, b = 4.4124 Å, c = 4.4124 Å
α = 60.00°, β = 60.00°, γ = 60.00°
Atoms (fractional coordinates):
Pm (0.2500, 0.2500, 0.2500)
Fe (0.0000, 0.0000, 0.0000)
W (0.7500, 0.7500, 0.7500)

Entry 2:
Computed, not measured: a geometry-optimized PmFeW structure at the PBE-GGA level of DFT.

a = 4.5724 Å, b = 4.5724 Å, c = 4.5724 Å
α = 60.00°, β = 60.00°, γ = 60.00°
Atoms (fractional coordinates):
W (0.5000, 0.5000, 0.5000)
Fe (0.0000, 0.0000, 0.0000)
Pm (0.7500, 0.7500, 0.7500)

Entry 3:
Computed, not measured: a geometry-optimized PmZrFe structure at the PBE-GGA level of DFT.

a = 4.5790 Å, b = 4.5790 Å, c = 4.5790 Å
α = 60.00°, β = 60.00°, γ = 60.00°
Atoms (fractional coordinates):
Pm (0.2500, 0.2500, 0.2500)
Fe (0.0000, 0.0000, 0.0000)
Zr (0.7500, 0.7500, 0.7500)

Entry 4:
Computed, not measured: a geometry-optimized Pr3Fe structure at the PBE-GGA level of DFT.

a = 5.3326 Å, b = 5.3326 Å, c = 5.3326 Å
α = 60.00°, β = 60.00°, γ = 60.00°
Atoms (fractional coordinates):
Pr (0.5000, 0.5000, 0.5000)
Pr (0.2500, 0.2500, 0.2500)
Fe (0.7500, 0.7500, 0.7500)
Pr (0.0000, 0.0000, 0.0000)

Entry 5:
Computed, not measured: a geometry-optimized Pr3Fe structure at the PBE-GGA level of DFT.

a = 7.1268 Å, b = 7.1268 Å, c = 5.2541 Å
α = 90.00°, β = 90.00°, γ = 120.00°
Atoms (fractional coordinates):
Pr (0.1787, 0.8213, 0.2500)
Fe (0.6667, 0.3333, 0.2500)
Pr (0.8213, 0.1787, 0.7500)
Pr (0.6427, 0.8213, 0.2500)
Fe (0.3333, 0.6667, 0.7500)
Pr (0.3573, 0.1787, 0.7500)
Pr (0.1787, 0.3573, 0.2500)
Pr (0.8213, 0.6427, 0.7500)

Entry 6:
Computed, not measured: a geometry-optimized Pr3Fe structure at the PBE-GGA level of DFT.

a = 6.0990 Å, b = 6.0990 Å, c = 6.0990 Å
α = 135.71°, β = 135.71°, γ = 64.44°
Atoms (fractional coordinates):
Fe (0.0000, 0.0000, 0.0000)
Pr (0.5000, 0.5000, 0.0000)
Pr (0.7500, 0.2500, 0.5000)
Pr (0.2500, 0.7500, 0.5000)

Calculated V, 60.7, 67.6, 67.9, 107.2, 231.1, 109.1 Å³ per cell (same order as the records).
Calculated ΔE_f, 850, 2000, 263, 542, 348, 536 meV/atom (same order as the records).
Calculated total magnetic moment, 0.0, 3.8, 0.0, 0.1, 2.3, 0.0 μB per formula unit (same order as the records).